# 1
# PmTh4Co4

A geometry-optimized PmTh4Co4 structure (PBE-GGA, the Alexandria database).

Results
Space-group type: P4_2/n, No. 86
Formation energy from the elements: -0.22 eV/atom
Fermi-level density of states: 13.1 states/eV per cell
Spin magnetization: 0.00 μB/f.u.

Cell: 8.696 8.696 5.580 Å, 90.00 90.00 90.00°
Sites, in units of the cell vectors:
Pm: 0.250 0.250 0.250
Pm: 0.750 0.750 0.750
Th: 0.059 0.660 0.189
Th: 0.160 0.941 0.689
Th: 0.340 0.559 0.689
Th: 0.441 0.840 0.189
Th: 0.559 0.160 0.811
Th: 0.660 0.441 0.311
Th: 0.840 0.059 0.311
Th: 0.941 0.340 0.811
Co: 0.045 0.620 0.678
Co: 0.120 0.955 0.178
Co: 0.380 0.545 0.178
Co: 0.455 0.880 0.678
Co: 0.545 0.120 0.322
Co: 0.620 0.455 0.822
Co: 0.880 0.045 0.822
Co: 0.955 0.380 0.322


# 2
# PmThCo2

A geometry-optimized PmThCo2 structure (PBE-GGA, the Alexandria database).

Results
Space-group type: R-3m, No. 166
Formation energy from the elements: -0.16 eV/atom
Fermi-level density of states: 7.5 states/eV per cell
Spin magnetization: 0.00 μB/f.u.

Cell: 4.380 4.380 15.234 Å, 90.00 90.00 120.00°
Sites, in units of the cell vectors:
Pm: 0.000 0.000 0.000
Pm: 0.333 0.667 0.667
Pm: 0.667 0.333 0.333
Th: 0.000 0.000 0.500
Th: 0.333 0.667 0.167
Th: 0.667 0.333 0.833
Co: 0.000 0.000 0.209
Co: 0.000 0.000 0.791
Co: 0.333 0.667 0.457
Co: 0.333 0.667 0.876
Co: 0.667 0.333 0.124
Co: 0.667 0.333 0.543


# 3
# PmTh2Co

A geometry-optimized PmTh2Co structure (PBE-GGA, the Alexandria database).

Results
Space-group type: R3m, No. 160
Formation energy from the elements: -0.09 eV/atom
Fermi-level density of states: 14.5 states/eV per cell
Spin magnetization: 0.00 μB/f.u.

Cell: 3.848 3.848 27.102 Å, 90.00 90.00 120.00°
Sites, in units of the cell vectors:
Pm: 0.000 0.000 0.000
Pm: 0.333 0.667 0.667
Pm: 0.667 0.333 0.333
Th: 0.000 0.000 0.560
Th: 0.000 0.000 0.776
Th: 0.333 0.667 0.227
Th: 0.333 0.667 0.443
Th: 0.667 0.333 0.109
Th: 0.667 0.333 0.893
Co: 0.000 0.000 0.167
Co: 0.333 0.667 0.834
Co: 0.667 0.333 0.500


# 4
# Pm3ThCo

A geometry-optimized Pm3ThCo structure (PBE-GGA, the Alexandria database).

Results
Space-group type: C2/m, No. 12
Formation energy from the elements: 0.03 eV/atom
Fermi-level density of states: 13.8 states/eV per cell
Spin magnetization: 0.00 μB/f.u.

Cell: 7.096 7.096 6.668 Å, 101.80 101.80 107.43°
Sites, in units of the cell vectors:
Pm: 0.018 0.018 0.250
Pm: 0.078 0.536 0.265
Pm: 0.464 0.922 0.735
Pm: 0.536 0.078 0.265
Pm: 0.922 0.464 0.735
Pm: 0.982 0.982 0.750
Th: 0.409 0.409 0.717
Th: 0.591 0.591 0.283
Co: 0.288 0.288 0.069
Co: 0.712 0.712 0.931


# 5
# PmTh3Co8

A geometry-optimized PmTh3Co8 structure (PBE-GGA, the Alexandria database).

Results
Space-group type: R3m, No. 160
Formation energy from the elements: -0.17 eV/atom
Fermi-level density of states: 15.6 states/eV per cell
Spin magnetization: 0.00 μB/f.u.

Cell: 8.848 8.848 8.848 Å, 33.58 33.58 33.58°
Sites, in units of the cell vectors:
Pm: 0.000 0.000 0.000
Th: 0.124 0.124 0.124
Th: 0.503 0.503 0.503
Th: 0.629 0.629 0.629
Co: 0.065 0.065 0.561
Co: 0.065 0.561 0.065
Co: 0.068 0.563 0.563
Co: 0.314 0.314 0.314
Co: 0.561 0.065 0.065
Co: 0.563 0.068 0.563
Co: 0.563 0.563 0.068
Co: 0.814 0.814 0.814


# 6
# PmTh2Co

A geometry-optimized PmTh2Co structure (PBE-GGA, the Alexandria database).

Results
Space-group type: P4/mmm, No. 123
Formation energy from the elements: 0.00 eV/atom
Fermi-level density of states: 6.1 states/eV per cell
Spin magnetization: 0.00 μB/f.u.

Cell: 3.532 3.532 8.699 Å, 90.00 90.00 90.00°
Sites, in units of the cell vectors:
Pm: 0.000 0.000 0.000
Th: 0.500 0.500 0.316
Th: 0.500 0.500 0.684
Co: 0.000 0.000 0.500


# 7
# Pm3ThCo8

A geometry-optimized Pm3ThCo8 structure (PBE-GGA, the Alexandria database).

Results
Space-group type: R3m, No. 160
Formation energy from the elements: -0.09 eV/atom
Fermi-level density of states: 17.4 states/eV per cell
Spin magnetization: 5.83 μB/f.u.

Cell: 8.909 8.909 8.909 Å, 33.49 33.49 33.49°
Sites, in units of the cell vectors:
Pm: 0.000 0.000 0.000
Pm: 0.124 0.124 0.124
Pm: 0.628 0.628 0.628
Th: 0.502 0.502 0.502
Co: 0.063 0.063 0.562
Co: 0.063 0.562 0.063
Co: 0.066 0.563 0.563
Co: 0.314 0.314 0.314
Co: 0.562 0.063 0.063
Co: 0.563 0.066 0.563
Co: 0.563 0.563 0.066
Co: 0.813 0.813 0.813


# 8
# PmThCo

A geometry-optimized PmThCo structure (PBE-GGA, the Alexandria database).

Results
Space-group type: P3m1, No. 156
Formation energy from the elements: 0.05 eV/atom
Fermi-level density of states: 3.3 states/eV per cell
Spin magnetization: 0.00 μB/f.u.

Cell: 4.344 4.344 4.851 Å, 90.00 90.00 120.00°
Sites, in units of the cell vectors:
Pm: 0.000 0.000 0.000
Th: 0.667 0.333 0.506
Co: 0.333 0.667 0.431


# 9
# PmTh2Co

A geometry-optimized PmTh2Co structure (PBE-GGA, the Alexandria database).

Results
Space-group type: R-3m, No. 166
Formation energy from the elements: 0.10 eV/atom
Fermi-level density of states: 17.0 states/eV per cell
Spin magnetization: 0.00 μB/f.u.

Cell: 3.757 3.757 30.268 Å, 90.00 90.00 120.00°
Sites, in units of the cell vectors:
Pm: 0.000 0.000 0.000
Pm: 0.333 0.667 0.667
Pm: 0.667 0.333 0.333
Th: 0.000 0.000 0.114
Th: 0.000 0.000 0.886
Th: 0.333 0.667 0.553
Th: 0.333 0.667 0.780
Th: 0.667 0.333 0.220
Th: 0.667 0.333 0.447
Co: 0.000 0.000 0.500
Co: 0.333 0.667 0.167
Co: 0.667 0.333 0.833


# 10
# PmThCo4

A geometry-optimized PmThCo4 structure (PBE-GGA, the Alexandria database).

Results
Space-group type: Pmmm, No. 47
Formation energy from the elements: -0.16 eV/atom
Fermi-level density of states: 7.5 states/eV per cell
Spin magnetization: 1.69 μB/f.u.

Cell: 3.952 4.022 6.816 Å, 90.00 90.00 90.00°
Sites, in units of the cell vectors:
Pm: 0.000 0.000 0.000
Th: 0.500 0.000 0.500
Co: 0.000 0.500 0.334
Co: 0.000 0.500 0.666
Co: 0.500 0.500 0.170
Co: 0.500 0.500 0.830


# 11
# PmThCo2

A geometry-optimized PmThCo2 structure (PBE-GGA, the Alexandria database).

Results
Space-group type: Fm-3m, No. 225
Formation energy from the elements: -0.05 eV/atom
Fermi-level density of states: 12.4 states/eV per cell
Spin magnetization: 0.00 μB/f.u.

Cell: 6.881 6.881 6.881 Å, 90.00 90.00 90.00°
Sites, in units of the cell vectors:
Pm: 0.000 0.000 0.000
Pm: 0.000 0.500 0.500
Pm: 0.500 0.000 0.500
Pm: 0.500 0.500 0.000
Th: 0.000 0.000 0.500
Th: 0.000 0.500 0.000
Th: 0.500 0.000 0.000
Th: 0.500 0.500 0.500
Co: 0.250 0.250 0.250
Co: 0.250 0.250 0.750
Co: 0.250 0.750 0.250
Co: 0.250 0.750 0.750
Co: 0.750 0.250 0.250
Co: 0.750 0.250 0.750
Co: 0.750 0.750 0.250
Co: 0.750 0.750 0.750


# 12
# PmThCo

A geometry-optimized PmThCo structure (PBE-GGA, the Alexandria database).

Results
Space-group type: P2_1/m, No. 11
Formation energy from the elements: -0.14 eV/atom
Fermi-level density of states: 6.8 states/eV per cell
Spin magnetization: 0.00 μB/f.u.

Cell: 3.885 3.875 10.791 Å, 90.00 90.15 90.00°
Sites, in units of the cell vectors:
Pm: 0.250 0.250 0.112
Pm: 0.750 0.750 0.888
Th: 0.248 0.250 0.629
Th: 0.752 0.750 0.371
Co: 0.252 0.250 0.364
Co: 0.748 0.750 0.636


# 13
# PmThCo2

A geometry-optimized PmThCo2 structure (PBE-GGA, the Alexandria database).

Results
Space-group type: R3m, No. 160
Formation energy from the elements: 0.03 eV/atom
Fermi-level density of states: 10.7 states/eV per cell
Spin magnetization: 0.00 μB/f.u.

Cell: 3.852 3.852 20.451 Å, 90.00 90.00 120.00°
Sites, in units of the cell vectors:
Pm: 0.000 0.000 0.000
Pm: 0.333 0.667 0.667
Pm: 0.667 0.333 0.333
Th: 0.000 0.000 0.173
Th: 0.333 0.667 0.840
Th: 0.667 0.333 0.506
Co: 0.000 0.000 0.583
Co: 0.000 0.000 0.757
Co: 0.333 0.667 0.250
Co: 0.333 0.667 0.424
Co: 0.667 0.333 0.091
Co: 0.667 0.333 0.916


# 14
# PmThCo10

A geometry-optimized PmThCo10 structure (PBE-GGA, the Alexandria database).

Results
Space-group type: Pmmm, No. 47
Formation energy from the elements: -0.10 eV/atom
Fermi-level density of states: 18.3 states/eV per cell
Spin magnetization: 13.03 μB/f.u.

Cell: 3.982 4.952 8.629 Å, 90.00 90.00 90.00°
Sites, in units of the cell vectors:
Pm: 0.000 0.000 0.000
Th: 0.000 0.500 0.500
Co: 0.000 0.000 0.337
Co: 0.000 0.000 0.663
Co: 0.000 0.500 0.178
Co: 0.000 0.500 0.822
Co: 0.500 0.000 0.500
Co: 0.500 0.246 0.247
Co: 0.500 0.246 0.753
Co: 0.500 0.500 0.000
Co: 0.500 0.754 0.247
Co: 0.500 0.754 0.753


# 15
# PmThCo2

A geometry-optimized PmThCo2 structure (PBE-GGA, the Alexandria database).

Results
Space-group type: P4/mmm, No. 123
Formation energy from the elements: -0.10 eV/atom
Fermi-level density of states: 3.4 states/eV per cell
Spin magnetization: 0.00 μB/f.u.

Cell: 3.449 3.449 6.904 Å, 90.00 90.00 90.00°
Sites, in units of the cell vectors:
Pm: 0.000 0.000 0.000
Th: 0.000 0.000 0.500
Co: 0.500 0.500 0.285
Co: 0.500 0.500 0.715


# 16
# Pm2ThCo2

A geometry-optimized Pm2ThCo2 structure (PBE-GGA, the Alexandria database).

Results
Space-group type: C2/c, No. 15
Formation energy from the elements: -0.20 eV/atom
Fermi-level density of states: 9.0 states/eV per cell
Spin magnetization: 0.00 μB/f.u.

Cell: 6.195 6.195 7.192 Å, 99.34 99.34 60.81°
Sites, in units of the cell vectors:
Pm: 0.053 0.256 0.149
Pm: 0.256 0.053 0.649
Pm: 0.744 0.947 0.351
Pm: 0.947 0.744 0.851
Th: 0.424 0.576 0.250
Th: 0.576 0.424 0.750
Co: 0.187 0.503 0.490
Co: 0.497 0.813 0.010
Co: 0.503 0.187 0.990
Co: 0.813 0.497 0.510


# 17
# PmTh3Co

A geometry-optimized PmTh3Co structure (PBE-GGA, the Alexandria database).

Results
Space-group type: Pm-3m, No. 221
Formation energy from the elements: 0.01 eV/atom
Fermi-level density of states: 8.6 states/eV per cell
Spin magnetization: 0.00 μB/f.u.

Cell: 5.360 5.360 5.360 Å, 90.00 90.00 90.00°
Sites, in units of the cell vectors:
Pm: 0.000 0.000 0.000
Th: 0.000 0.500 0.500
Th: 0.500 0.000 0.500
Th: 0.500 0.500 0.000
Co: 0.500 0.500 0.500


# 18
# PmTh2Co

A geometry-optimized PmTh2Co structure (PBE-GGA, the Alexandria database).

Results
Space-group type: P2_1/m, No. 11
Formation energy from the elements: -0.17 eV/atom
Fermi-level density of states: 9.4 states/eV per cell
Spin magnetization: 0.00 μB/f.u.

Cell: 3.716 9.808 6.239 Å, 90.00 107.32 90.00°
Sites, in units of the cell vectors:
Pm: 0.087 0.250 0.174
Pm: 0.913 0.750 0.826
Th: 0.361 0.067 0.722
Th: 0.361 0.433 0.722
Th: 0.639 0.567 0.278
Th: 0.639 0.933 0.278
Co: 0.199 0.750 0.397
Co: 0.801 0.250 0.603


# 19
# PmThZnCo

A geometry-optimized PmThZnCo structure (PBE-GGA, the Alexandria database).

Results
Space-group type: F-43m, No. 216
Formation energy from the elements: -0.10 eV/atom
Fermi-level density of states: 12.6 states/eV per cell
Spin magnetization: 0.44 μB/f.u.

Cell: 7.120 7.120 7.120 Å, 90.00 90.00 90.00°
Sites, in units of the cell vectors:
Pm: 0.000 0.000 0.000
Pm: 0.000 0.500 0.500
Pm: 0.500 0.000 0.500
Pm: 0.500 0.500 0.000
Th: 0.000 0.000 0.500
Th: 0.000 0.500 0.000
Th: 0.500 0.000 0.000
Th: 0.500 0.500 0.500
Zn: 0.250 0.250 0.250
Zn: 0.250 0.750 0.750
Zn: 0.750 0.250 0.750
Zn: 0.750 0.750 0.250
Co: 0.250 0.250 0.750
Co: 0.250 0.750 0.250
Co: 0.750 0.250 0.250
Co: 0.750 0.750 0.750


# 20
# PmTi2Co9

A geometry-optimized PmTi2Co9 structure (PBE-GGA, the Alexandria database).

Results
Space-group type: R-3m, No. 166
Formation energy from the elements: -0.17 eV/atom
Fermi-level density of states: 16.5 states/eV per cell
Spin magnetization: 9.40 μB/f.u.

Cell: 8.286 8.286 8.286 Å, 33.94 33.94 33.94°
Sites, in units of the cell vectors:
Pm: 0.000 0.000 0.000
Ti: 0.142 0.142 0.142
Ti: 0.858 0.858 0.858
Co: 0.078 0.592 0.592
Co: 0.336 0.336 0.336
Co: 0.408 0.408 0.922
Co: 0.408 0.922 0.408
Co: 0.500 0.500 0.500
Co: 0.592 0.078 0.592
Co: 0.592 0.592 0.078
Co: 0.664 0.664 0.664
Co: 0.922 0.408 0.408